Below is a relaxed MnFe2Ru crystal, with properties calculated at the GGA-PBE level.

a b c (Å): 2.584 3.584 5.216
angles (deg): 90.00 90.00 90.00
Fractional coordinates of all 4 atoms:
Mn (0.000, 0.000, 0.489)
Fe (0.000, 0.000, 0.008)
Ru (0.500, 0.500, 0.754)
Fe (0.500, 0.500, 0.249)

Volume = 12.1 Å³ per atom
Fermi-level density of states = 5.25 states/eV/f.u.
Energy of formation = 42 kJ/mol of formula units
Total magnetization = 2.05 μB/f.u.

Below is a relaxed MnFe2Ru crystal, with properties calculated at the GGA-PBE level.

a b c (Å): 4.421 4.421 4.493
angles (deg): 80.46 80.46 33.82
Fractional coordinates of all 4 atoms:
Fe (0.001, 0.001, 0.997)
Mn (0.497, 0.497, 0.516)
Ru (0.251, 0.251, 0.242)
Fe (0.751, 0.751, 0.745)

Volume = 12.0 Å³ per atom
Fermi-level density of states = 5.64 states/eV/f.u.
Energy of formation = 44 kJ/mol of formula units
Total magnetization = 1.20 μB/f.u.

Question: volume of number 1 (MnFe2Ru)?
Answer: 12.1 Å³ per atom